Entry 1:
# ZrNiHg

ZrNiHg after structural relaxation (PBE, the Alexandria database).

formation energy from the elements	-0.164	eV per atom
space group	No. 107

Cell: 5.231 5.231 5.231 Å, 141.93 141.93 54.93°
Atoms (fractional coordinates):
Zr (0.000, 0.000, 0.000)
Ni (0.649, 0.649, 0.000)
Hg (0.310, 0.310, 0.000)

=====

Entry 2:
# AgAsSe4

AgAsSe4 after structural relaxation (PBE, the Alexandria database).

space group	No. 13
formation energy (no corrections)	0.07	eV/atom

Cell: 6.474 8.179 8.314 Å, 90.00 118.18 90.00°
Atoms (fractional coordinates):
Ag (0.000, 0.186, 0.250)
Ag (0.000, 0.814, 0.750)
As (0.500, 0.243, 0.750)
As (0.500, 0.757, 0.250)
Se (0.186, 0.391, 0.527)
Se (0.186, 0.609, 0.027)
Se (0.321, 0.065, 0.895)
Se (0.321, 0.935, 0.395)
Se (0.679, 0.065, 0.605)
Se (0.679, 0.935, 0.105)
Se (0.814, 0.391, 0.973)
Se (0.814, 0.609, 0.473)

=====

no.,spin magnetization (μB/f.u.),N(E_F) (states/eV/atom),polymorph energy (0 for the lowest one) (meV per atom)
1,0.000,0.7141,172.9
2,0.000,0.0686,0.0